(i)
First-principles (GGA-PBE) data for an optimized crystal structure of Y3ErSc3, as listed in Alexandria via LeMat-Bulk.

## Properties
Density (g/cm³): 4.50
D(E_F) (states/eV per cell): 22.8

Lattice parameters (Å, degrees): 5.9580 5.9580 14.0863 77.79 77.79 60.00
Fractional positions:
Y 0.4035 0.0698 0.7904
Er 0.3333 0.3333 0.0000
Sc 0.8638 0.5318 0.4077
Sc 0.1967 0.8638 0.4077
Y 0.9302 0.2637 0.2096
Sc 0.1362 0.4682 0.5923
Er 0.6667 0.6667 0.0000
Sc 0.8033 0.1362 0.5923
Sc 0.4682 0.8033 0.5923
Y 0.7363 0.4035 0.7904
Y 0.2637 0.5965 0.2096
Y 0.0698 0.7363 0.7904
Sc 0.5318 0.1967 0.4077
Y 0.5965 0.9302 0.2096


(ii)
First-principles (GGA-PBE) data for an optimized crystal structure of Y3ErSc3, as listed in Alexandria via LeMat-Bulk.

## Properties
Density (g/cm³): 4.68
D(E_F) (states/eV per cell): 27.1

Lattice parameters (Å, degrees): 5.4575 9.2457 9.2457 120.00 90.00 90.00
Fractional positions:
Sc 0.2500 0.5168 0.9036
Y 0.7500 0.7539 0.9520
Er 0.7500 0.3333 0.6667
Er 0.2500 0.6667 0.3333
Sc 0.2500 0.0964 0.6132
Sc 0.2500 0.3868 0.4832
Y 0.7500 0.0480 0.8019
Y 0.2500 0.9520 0.1981
Y 0.2500 0.2461 0.0480
Y 0.2500 0.8019 0.7539
Sc 0.7500 0.4832 0.0964
Sc 0.7500 0.9036 0.3868
Sc 0.7500 0.6132 0.5168
Y 0.7500 0.1981 0.2461


(ii) has the most favorable energy; the next structure is 0.140 eV/atom above.


(i)
First-principles (GGA-PBE) data for an optimized crystal structure of Y3Er5Sc, as listed in Alexandria via LeMat-Bulk.

## Properties
Density (g/cm³): 6.75
D(E_F) (states/eV per cell): 28.9

Lattice parameters (Å, degrees): 8.5426 9.6282 12.2152 134.24 90.00 116.34
Fractional positions:
Sc 0.1036 0.0000 0.2500
Er 0.9405 0.4876 0.3526
Y 0.7034 0.1553 0.6499
Er 0.3758 0.5774 0.4562
Er 0.3016 0.0000 0.7500
Y 0.5481 0.8447 0.8501
Er 0.0595 0.5124 0.6474
Er 0.7984 0.4226 0.0438
Y 0.2966 0.8447 0.3501
Er 0.4528 0.5124 0.1474
Sc 0.8964 0.0000 0.7500
Er 0.6242 0.4226 0.5438
Er 0.6984 0.0000 0.2500
Er 0.5472 0.4876 0.8526
Y 0.0000 0.0000 0.5000
Y 0.0000 0.0000 0.0000
Er 0.2016 0.5774 0.9562
Y 0.4519 0.1553 0.1499


(ii)
First-principles (GGA-PBE) data for an optimized crystal structure of Y3Er5Sc, as listed in Alexandria via LeMat-Bulk.

## Properties
Density (g/cm³): 6.87
D(E_F) (states/eV per cell): 25.5

Lattice parameters (Å, degrees): 8.5105 8.5105 9.7434 115.90 115.90 90.00
Fractional positions:
Er 0.5000 0.5000 0.0000
Sc 0.7500 0.2500 0.5000
Er 0.3475 0.8475 0.2831
Y 0.2500 0.2500 0.5000
Y 0.3810 0.8810 0.0000
Y 0.1190 0.3810 0.0000
Er 0.9355 0.4355 0.2831
Y 0.8810 0.6190 0.0000
Er 0.6525 0.1525 0.7169
Y 0.6190 0.1190 0.0000
Sc 0.2500 0.7500 0.5000
Y 0.7500 0.7500 0.5000
Er 0.8475 0.9355 0.2831
Er 0.5645 0.6525 0.7169
Er 0.4355 0.3475 0.2831
Er 0.0000 0.0000 0.0000
Er 0.1525 0.0645 0.7169
Er 0.0645 0.5645 0.7169


(i) has the most favorable energy; the next structure is 0.133 eV/atom above.